A relaxed Dy4SnI5 crystal, computed with PBE-GGA.

Cell: 4.2957 8.9433 9.8147 Å, 101.72 102.64 90.00°
Element x y z (fractional)
Dy: 0.3456 0.9253 0.6912
Dy: 0.9989 0.7755 0.9978
Dy: 0.6544 0.0747 0.3088
Dy: 0.0011 0.2245 0.0022
Sn: 0.5000 0.0000 0.0000
I: 0.8326 0.6696 0.6652
I: 0.8284 0.1721 0.6568
I: 0.1716 0.8279 0.3432
I: 0.5000 0.5000 0.0000
I: 0.1674 0.3304 0.3348

Output
The space group is C2/m. For the mass density, the calculation gives 6.48 Mg/m³. The value obtained for the total magnetization is 0.00 μB/f.u. The calculation puts the density of states at the Fermi level at 4.71 states/eV/cell. As for the energy relative to the elements, uncorrected: -1.0572 eV/atom.

***

A relaxed Y4SnTe crystal, computed with PBE-GGA.

Cell: 6.4687 7.4676 8.9266 Å, 104.05 111.20 89.86°
Element x y z (fractional)
Y: 0.5190 0.0495 0.8443
Y: 0.6763 0.4504 0.1549
Y: 0.4810 0.9505 0.1557
Y: 0.3237 0.5496 0.8451
Y: 0.9549 0.8713 0.7224
Y: 0.2328 0.6298 0.2783
Y: 0.0451 0.1287 0.2776
Y: 0.7672 0.3702 0.7217
Sn: 0.8403 0.7495 0.9993
Sn: 0.1597 0.2505 0.0007
Te: 0.5000 0.0000 0.5000
Te: 0.0000 0.5000 0.5000

Output
The space group is P-1. For the mass density, the calculation gives 5.15 Mg/m³. The value obtained for the total magnetization is 0.00 μB/f.u. The calculation puts the density of states at the Fermi level at 10.89 states/eV/cell. As for the energy relative to the elements, uncorrected: -0.5032 eV/atom.

***

A relaxed TbPuH8Rh2 crystal, computed with PBE-GGA.

Cell: 4.5606 4.5606 6.7929 Å, 70.39 70.39 60.00°
Last column: magnetic moment on the atom in μB.
Element x y z (fractional)
Tb: 0.0000 0.0000 0.0000  -0.01
Pu: 0.5000 0.5000 0.5000  4.94
H: 0.1370 0.1370 0.5888  -0.01
H: 0.4607 0.4607 0.1661  0.00
H: 0.8630 0.8630 0.4112  -0.01
H: 0.9126 0.4607 0.1661  0.00
H: 0.0874 0.5393 0.8339  0.00
H: 0.4607 0.9126 0.1661  0.00
H: 0.5393 0.0874 0.8339  0.00
H: 0.5393 0.5393 0.8339  0.00
Rh: 0.2308 0.2308 0.3077  -0.03
Rh: 0.7692 0.7692 0.6923  -0.03

Output
The space group is R-3m. For the mass density, the calculation gives 9.08 Mg/m³. The calculation puts the uncorrected energy at -5.271 eV/atom. The value obtained for the total magnetization is 4.94 μB/f.u. The calculation puts the density of states at the Fermi level at 11.08 states/eV/cell.

***

A relaxed Ba8PdRh2 crystal, computed with PBE-GGA.

Cell: 7.7329 8.9580 8.9580 Å, 61.43 104.65 104.65°
Element x y z (fractional)
Ba: 0.2646 0.3725 0.8924
Ba: 0.7354 0.1076 0.6275
Ba: 0.2525 0.8699 0.8699
Ba: 0.7475 0.1301 0.1301
Ba: 0.2646 0.8924 0.3725
Ba: 0.7354 0.6275 0.1076
Ba: 0.7414 0.6248 0.6248
Ba: 0.2586 0.3752 0.3752
Pd: 0.0000 0.0000 0.0000
Rh: 0.4982 0.7394 0.7394
Rh: 0.5018 0.2606 0.2606

Output
The energy of formation is -0.212 eV per atom. Its distance to the lowest polymorph of the same formula is 0 meV/atom. The space group is C2/m. For the mass density, the calculation gives 4.50 Mg/m³. The value obtained for the total magnetization is 0.00 μB/f.u. The calculation puts the density of states at the Fermi level at 9.35 states/eV/cell.

***

A relaxed La5Pm3Th2 crystal, computed with PBE-GGA.

Cell: 10.2967 10.2844 11.2561 Å, 129.67 129.70 66.61°
Element x y z (fractional)
La: 0.2788 0.5288 0.0576
La: 0.7212 0.4712 0.9424
La: 0.0266 0.7766 0.5533
La: 0.5108 0.2608 0.5217
La: 0.9734 0.2234 0.4467
La: 0.4892 0.7392 0.4783
La: 0.8774 0.6296 0.7542
La: 0.1226 0.3704 0.2458
La: 0.3768 0.1246 0.7542
La: 0.6232 0.8754 0.2458
Pm: 0.2357 0.9857 0.9715
Pm: 0.7643 0.0143 0.0285
Pm: 0.7249 0.4730 0.2497
Pm: 0.2751 0.5270 0.7503
Pm: 0.0248 0.7767 0.2497
Pm: 0.9752 0.2233 0.7503
Th: 0.7816 0.0306 0.7493
Th: 0.2184 0.9694 0.2507
Th: 0.4677 0.7187 0.7493
Th: 0.5323 0.2813 0.2507

Output
The energy of formation is 0.177 eV per atom. The space group is C2/c. For the mass density, the calculation gives 7.50 Mg/m³. The value obtained for the total magnetization is 0.00 μB/f.u. The calculation puts the density of states at the Fermi level at 28.43 states/eV/cell.

***

A relaxed BeSiCl crystal, computed with PBE-GGA.

Cell: 5.4649 5.4649 5.4649 Å, 144.91 144.91 50.47°
Element x y z (fractional)
Be: 0.1162 0.1162 0.0000
Si: 0.5573 0.5573 0.0000
Cl: 0.3266 0.3266 0.0000

Output
Its distance to the lowest polymorph of the same formula is 377 meV/atom. The space group is I4mm. For the mass density, the calculation gives 2.24 Mg/m³. The value obtained for the total magnetization is 0.00 μB/f.u. The calculation puts the density of states at the Fermi level at 1.18 states/eV/cell. As for the energy relative to the elements, uncorrected: 0.1050 eV/atom.

***

A relaxed CeHoPa2 crystal, computed with PBE-GGA.

Cell: 3.9052 3.9052 8.8993 Å, 77.33 77.33 60.00°
Element x y z (fractional)
Ce: 0.6659 0.6659 0.0022
Ho: 0.5006 0.5006 0.4983
Pa: 0.0626 0.0626 0.8121
Pa: 0.2709 0.2709 0.1874

Output
The energy of formation is 0.597 eV per atom. Its distance to the lowest polymorph of the same formula is 448 meV/atom. The space group is R3m. For the mass density, the calculation gives 11.20 Mg/m³. The value obtained for the total magnetization is 0.00 μB/f.u. The calculation puts the density of states at the Fermi level at 10.80 states/eV/cell.